Run 1
This record from Alexandria via LeMat-Bulk describes a relaxed LiPrS2O8 crystal. The functional is PBE.

```
LiPrS2O8
1.0
5.142 0.000 0.000
-2.571 4.453 0.000
0.000 0.000 6.867
O S Li Pr
8 2 1 1
Direct
0.350 0.176 0.289
0.667 0.333 0.003
0.174 0.350 0.711
0.824 0.174 0.289
0.826 0.650 0.289
0.176 0.826 0.711
0.650 0.824 0.711
0.333 0.667 0.997
0.333 0.667 0.777
0.667 0.333 0.223
0.000 0.000 0.500
0.000 0.000 0.000
```

---

Run 2
This record from Alexandria via LeMat-Bulk describes a relaxed LiPrS2O8 crystal. The functional is PBE.

```
LiPrS2O8
1.0
-4.252 -2.115 -4.833
2.871 -6.490 0.314
-7.525 -6.740 9.569
Pr O Li S
4 32 4 8
Direct
0.390 0.344 0.816
0.110 0.844 0.816
0.610 0.656 0.184
0.890 0.156 0.184
0.891 0.238 0.002
0.556 0.340 0.139
0.812 0.238 0.481
0.554 0.014 0.128
0.312 0.262 0.519
0.444 0.660 0.861
0.013 0.495 0.379
0.744 0.339 0.839
0.054 0.486 0.872
0.247 0.144 0.698
0.031 0.162 0.355
0.109 0.762 0.998
0.487 0.995 0.379
0.391 0.262 0.998
0.753 0.856 0.302
0.946 0.514 0.128
0.531 0.338 0.645
0.188 0.762 0.519
0.253 0.644 0.698
0.446 0.986 0.872
0.756 0.839 0.839
0.969 0.838 0.645
0.244 0.161 0.161
0.056 0.160 0.861
0.609 0.738 0.002
0.987 0.505 0.621
0.256 0.661 0.161
0.513 0.005 0.621
0.747 0.356 0.302
0.688 0.738 0.481
0.944 0.840 0.139
0.469 0.662 0.355
0.753 0.455 0.553
0.747 0.955 0.553
0.247 0.545 0.447
0.253 0.045 0.447
0.570 0.805 0.896
0.930 0.305 0.896
0.904 0.316 0.382
0.430 0.195 0.104
0.070 0.695 0.104
0.596 0.816 0.382
0.096 0.684 0.618
0.404 0.184 0.618
```

---

Most stable structure - run 2; separation to the second - 3.3 kJ/mol of atoms.

---

Run 1
This record from Alexandria via LeMat-Bulk describes a relaxed Li2PtO6 crystal. The functional is PBE.

```
Li2PtO6
1.0
0.252 4.721 -2.597
-4.753 -1.880 1.723
0.497 1.823 3.362
O Pt Li
6 1 2
Direct
0.000 0.298 0.278
0.702 0.000 0.722
0.298 0.298 0.722
0.702 0.702 0.278
0.298 0.000 0.278
0.000 0.702 0.722
0.000 0.000 0.000
0.667 0.333 0.000
0.333 0.667 0.000
```

---

Run 2
This record from Alexandria via LeMat-Bulk describes a relaxed Li2PtO6 crystal. The functional is PBE.

```
Li2PtO6
1.0
4.614 3.041 -0.061
-4.614 3.041 -0.061
0.000 0.851 3.666
O Li Pt
6 2 1
Direct
0.109 0.765 0.678
0.891 0.235 0.322
0.687 0.687 0.188
0.313 0.313 0.812
0.765 0.109 0.678
0.235 0.891 0.322
0.650 0.350 0.000
0.350 0.650 0.000
0.000 0.000 0.000
```

---

Most stable structure - run 2; separation to the second - 35.9 kJ/mol of atoms.

---

Run 1
This record from Alexandria via LeMat-Bulk describes a relaxed Sr2LiPtO crystal. The functional is PBE.

```
Sr2LiPtO
1.0
-1.761 -0.057 4.771
-4.721 -0.716 -1.751
0.540 -3.932 0.152
O Sr Pt Li
1 2 1 1
Direct
0.000 0.000 0.000
0.000 0.500 0.000
0.500 0.000 0.000
0.500 0.500 0.500
0.000 0.000 0.500
```

---

Run 2
This record from Alexandria via LeMat-Bulk describes a relaxed Sr2LiPtO crystal. The functional is PBE.

```
Sr2LiPtO
1.0
6.104 0.000 0.000
0.000 3.968 0.000
0.000 0.000 6.104
Sr Pt Li O
2 1 1 1
Direct
0.000 0.000 0.500
0.500 0.000 0.000
0.000 0.000 0.000
0.500 0.500 0.500
0.000 0.500 0.000
```

---

Most stable structure - run 1; separation to the second - 98.3 kJ/mol of atoms.

---

Run 1
This record from Alexandria via LeMat-Bulk describes a relaxed Li3PuO3 crystal. The functional is PBE.

```
Li3PuO3
1.0
5.924 0.000 0.000
2.962 5.130 0.000
2.962 1.710 5.456
O Pu Li
6 2 6
Direct
0.461 0.082 0.736
0.082 0.722 0.736
0.722 0.461 0.736
0.918 0.278 0.264
0.278 0.539 0.264
0.539 0.918 0.264
0.672 0.672 0.985
0.328 0.328 0.015
0.149 0.399 0.626
0.399 0.825 0.626
0.175 0.851 0.374
0.825 0.149 0.626
0.601 0.175 0.374
0.851 0.601 0.374
```

---

Run 2
This record from Alexandria via LeMat-Bulk describes a relaxed Li3PuO3 crystal. The functional is PBE.

```
Li3PuO3
1.0
-4.343 5.515 7.638
6.372 -5.073 0.241
4.115 5.104 -1.346
Li O Pu
12 12 4
Direct
0.721 0.000 0.838
0.104 0.624 0.882
0.221 0.000 0.662
0.896 0.376 0.118
0.279 0.000 0.162
0.020 0.624 0.382
0.779 0.000 0.338
0.480 0.376 0.882
0.520 0.624 0.118
0.980 0.376 0.618
0.604 0.624 0.618
0.396 0.376 0.382
0.058 0.000 0.812
0.451 0.298 0.612
0.442 0.000 0.312
0.653 0.702 0.888
0.347 0.298 0.112
0.049 0.702 0.112
0.153 0.702 0.612
0.951 0.298 0.888
0.549 0.702 0.388
0.558 0.000 0.688
0.942 0.000 0.188
0.847 0.298 0.388
0.630 0.260 0.500
0.870 0.740 0.000
0.370 0.740 0.500
0.130 0.260 0.000
```

---

Most stable structure - run 1; separation to the second - 12.8 kJ/mol of atoms.

---

Run 1
This record from Alexandria via LeMat-Bulk describes a relaxed LiPuO4 crystal. The functional is PBE.

```
LiPuO4
1.0
5.139 0.000 0.000
0.000 5.139 0.000
-2.569 -2.569 5.036
O Li Pu
8 2 2
Direct
0.606 0.625 0.750
0.875 0.394 0.250
0.144 0.125 0.750
0.375 0.394 0.250
0.875 0.856 0.250
0.375 0.856 0.250
0.144 0.625 0.750
0.606 0.125 0.750
0.000 0.000 0.000
0.750 0.250 0.500
0.500 0.500 0.000
0.250 0.750 0.500
```

---

Run 2
This record from Alexandria via LeMat-Bulk describes a relaxed LiPuO4 crystal. The functional is PBE.

```
LiPuO4
1.0
-2.605 -4.477 0.271
4.435 -2.760 -2.981
0.362 0.140 5.804
O Pu Li
8 2 2
Direct
0.190 0.319 0.147
0.671 0.621 0.312
0.329 0.379 0.688
0.810 0.681 0.853
0.829 0.121 0.312
0.690 0.181 0.853
0.171 0.879 0.688
0.310 0.819 0.147
0.500 0.500 0.000
0.000 0.000 0.000
0.000 0.500 0.500
0.500 0.000 0.500
```

---

Most stable structure - run 2; separation to the second - 26.6 kJ/mol of atoms.

---

Run 1
This record from Alexandria via LeMat-Bulk describes a relaxed LiPu2TeO2 crystal. The functional is PBE.

```
LiPu2TeO2
1.0
4.017 0.000 0.000
0.000 4.017 0.000
-2.008 -2.008 8.020
Li Te O Pu
1 1 2 2
Direct
0.500 0.500 0.000
0.000 0.000 0.000
0.250 0.750 0.500
0.750 0.250 0.500
0.680 0.680 0.361
0.320 0.320 0.639
```

---

Run 2
This record from Alexandria via LeMat-Bulk describes a relaxed LiPu2TeO2 crystal. The functional is PBE.

```
LiPu2TeO2
1.0
4.061 0.000 0.000
0.000 4.284 -0.010
-2.032 -4.271 6.670
Pu Te O Li
2 1 2 1
Direct
0.344 0.337 0.686
0.684 0.518 0.367
0.978 0.106 0.955
0.264 0.678 0.527
0.749 0.148 0.497
0.081 0.813 0.162
```

---

Most stable structure - run 2; separation to the second - 12.8 kJ/mol of atoms.